Entry 1:
A geometry-optimized Ba2InTe4 structure, computed with PBE.

- M_tot (μB per formula unit) = 0.0
- energy relative to the lowest polymorph listed for this composition (meV/atom) = 217
- raw formation energy (eV/atom) = -0.90
- SG = I4/mmm, No. 139

Structure (POSCAR):
```
Ba2InTe4
1.0
-2.8880 2.8880 8.6333
2.8880 -2.8880 8.6333
2.8880 2.8880 -8.6333
Ba In Te
2 1 4
Cartesian
0.0000 0.0000 2.2849
0.0000 0.0000 14.9817
0.0000 0.0000 8.6333
2.8880 0.0000 0.0000
0.0000 0.0000 5.7024
0.0000 2.8880 0.0000
0.0000 0.0000 11.5642
```

---

Entry 2:
A geometry-optimized KIn2Cu structure, computed with PBE.

- M_tot (μB per formula unit) = 0.0
- SG = Pmmm, No. 47
- energy of formation (eV per atom) = 0.283

Structure (POSCAR):
```
KIn2Cu
1.0
4.5194 0.0000 0.0000
0.0000 4.6605 0.0000
0.0000 0.0000 5.1019
K In Cu
1 2 1
Cartesian
0.0000 0.0000 0.0000
0.0000 2.3302 2.5509
2.2597 0.0000 2.5509
2.2597 2.3302 0.0000
```